No. 1
{"formula": "Ba5P2HO", "functional": "GGA-PBE", "state": "optimized geometry", "energy_ha_per_atom": -0.1579, "space_group": "Cmc2_1, No. 36", "cell": [[2.2729, -9.0369, 0.0000], [2.2729, 9.0369, 0.0000], [0.0000, 0.0000, 13.3627]], "species": ["Ba", "Ba", "Ba", "Ba", "Ba", "Ba", "Ba", "Ba", "Ba", "Ba", "P", "P", "P", "P", "H", "H", "O", "O"], "fractional_positions": [[0.0050, 0.9950, 0.5000], [0.1485, 0.8515, 0.7336], [0.1883, 0.8117, 0.1101], [0.2141, 0.7859, 0.4007], [0.4429, 0.5571, 0.7745], [0.5571, 0.4429, 0.2745], [0.7859, 0.2141, 0.9007], [0.8117, 0.1883, 0.6101], [0.8515, 0.1485, 0.2336], [0.9950, 0.0050, 0.0000], [0.3632, 0.6368, 0.0397], [0.3913, 0.6087, 0.4140], [0.6087, 0.3913, 0.9140], [0.6368, 0.3632, 0.5397], [0.0417, 0.9583, 0.1800], [0.9583, 0.0417, 0.6800], [0.2951, 0.7049, 0.7317], [0.7049, 0.2951, 0.2317]]}

=====

No. 2
{"formula": "Ba6P2H3O", "functional": "GGA-PBE", "state": "optimized geometry", "energy_ha_per_atom": -0.1494, "space_group": "C2/m, No. 12", "cell": [[3.7801, -6.5513, 0.0000], [3.7801, 6.5513, 0.0000], [-2.5173, 0.0000, 6.9821]], "species": ["Ba", "Ba", "Ba", "Ba", "Ba", "Ba", "P", "P", "H", "H", "H", "O"], "fractional_positions": [[0.0816, 0.3902, 0.7430], [0.2254, 0.2254, 0.2688], [0.3902, 0.0816, 0.7430], [0.6098, 0.9184, 0.2570], [0.7746, 0.7746, 0.7312], [0.9184, 0.6098, 0.2570], [0.3320, 0.6680, 0.5000], [0.6680, 0.3320, 0.5000], [0.1644, 0.8356, 0.0000], [0.5000, 0.5000, 0.0000], [0.8356, 0.1644, 0.0000], [0.0000, 0.0000, 0.5000]]}